Density functional theory data (meta-GGA SCAN) for BeZnSe2 at its PBEsol-relaxed geometry.

```
data_BeZnSe2
_space_group_name_H-M_alt 'P 1'
_space_group_IT_number 1
_cell_length_a 3.212
_cell_length_b 4.505
_cell_length_c 4.505
_cell_angle_alpha 90.00
_cell_angle_beta 90.00
_cell_angle_gamma 90.00
loop_
_space_group_symop_operation_xyz
'x,y,z'
loop_
_atom_site_label
_atom_site_fract_x
_atom_site_fract_y
_atom_site_fract_z
Se1 0.000 0.000 0.500
Zn1 0.500 0.000 0.000
Se2 0.000 0.500 0.000
Be1 0.500 0.500 0.500
```

## Properties
* polymorph energy (0 for the lowest one): 1278.9 meV per atom
* formation energy from raw total energies: 0.42 eV per atom
* N(E_F): 2.10 states/eV/f.u.
* volume: 65.2 Å³/cell

=====

Density functional theory data (meta-GGA SCAN) for NiPSeO2 at its PBEsol-relaxed geometry.

```
data_NiPSeO2
_space_group_name_H-M_alt 'P 1'
_space_group_IT_number 1
_cell_length_a 3.552
_cell_length_b 3.552
_cell_length_c 5.277
_cell_angle_alpha 90.00
_cell_angle_beta 90.00
_cell_angle_gamma 90.00
loop_
_space_group_symop_operation_xyz
'x,y,z'
loop_
_atom_site_label
_atom_site_fract_x
_atom_site_fract_y
_atom_site_fract_z
O1 0.000 0.500 0.000
Ni1 0.000 0.000 0.000
O2 0.500 0.000 0.000
Se1 0.500 0.500 0.500
P1 0.000 0.000 0.500
```

## Properties
* polymorph energy (0 for the lowest one): 0.0 meV per atom
* formation energy from raw total energies: 0.02 eV per atom
* N(E_F): 2.68 states/eV/f.u.
* volume: 66.6 Å³/cell

=====

Density functional theory data (meta-GGA SCAN) for BaTiNi2F at its PBEsol-relaxed geometry.

```
data_BaTiNi2F
_space_group_name_H-M_alt 'P 1'
_space_group_IT_number 1
_cell_length_a 4.740
_cell_length_b 4.740
_cell_length_c 5.814
_cell_angle_alpha 90.00
_cell_angle_beta 90.00
_cell_angle_gamma 90.00
loop_
_space_group_symop_operation_xyz
'x,y,z'
loop_
_atom_site_label
_atom_site_fract_x
_atom_site_fract_y
_atom_site_fract_z
Ti1 0.000 0.000 0.500
Ba1 0.000 0.000 0.000
Ni1 0.500 0.000 0.000
Ni2 0.000 0.500 0.000
F1 0.500 0.500 0.500
```

## Properties
* formation energy from raw total energies: 1.64 eV per atom
* N(E_F): 2.99 states/eV/f.u.
* volume: 130.6 Å³/cell

=====

Density functional theory data (meta-GGA SCAN) for HfAsBr3 at its PBEsol-relaxed geometry.

```
data_HfAsBr3
_space_group_name_H-M_alt 'P 1'
_space_group_IT_number 1
_cell_length_a 5.214
_cell_length_b 5.214
_cell_length_c 5.214
_cell_angle_alpha 90.00
_cell_angle_beta 90.00
_cell_angle_gamma 90.00
loop_
_space_group_symop_operation_xyz
'x,y,z'
loop_
_atom_site_label
_atom_site_fract_x
_atom_site_fract_y
_atom_site_fract_z
Br1 0.000 0.500 0.000
Br2 0.000 0.000 0.500
Br3 0.500 0.000 0.000
As1 0.500 0.500 0.500
Hf1 0.000 0.000 0.000
```

## Properties
* formation energy from raw total energies: -0.32 eV per atom
* N(E_F): 1.52 states/eV/f.u.
* volume: 141.8 Å³/cell

=====

Density functional theory data (meta-GGA SCAN) for Y2AgSbPd at its PBEsol-relaxed geometry.

```
data_Y2AgSbPd
_space_group_name_H-M_alt 'P 1'
_space_group_IT_number 1
_cell_length_a 4.905
_cell_length_b 5.389
_cell_length_c 5.389
_cell_angle_alpha 90.00
_cell_angle_beta 90.00
_cell_angle_gamma 90.00
loop_
_space_group_symop_operation_xyz
'x,y,z'
loop_
_atom_site_label
_atom_site_fract_x
_atom_site_fract_y
_atom_site_fract_z
Sb1 0.500 0.000 0.000
Ag1 0.000 0.000 0.000
Y1 0.000 0.000 0.500
Y2 0.000 0.500 0.000
Pd1 0.500 0.500 0.500
```

## Properties
* formation energy from raw total energies: 0.25 eV per atom
* N(E_F): 3.94 states/eV/f.u.
* volume: 142.5 Å³/cell

=====

Density functional theory data (meta-GGA SCAN) for NaMg2TlO at its PBEsol-relaxed geometry.

```
data_NaMg2TlO
_space_group_name_H-M_alt 'P 1'
_space_group_IT_number 1
_cell_length_a 3.935
_cell_length_b 5.429
_cell_length_c 5.429
_cell_angle_alpha 90.00
_cell_angle_beta 90.00
_cell_angle_gamma 90.00
loop_
_space_group_symop_operation_xyz
'x,y,z'
loop_
_atom_site_label
_atom_site_fract_x
_atom_site_fract_y
_atom_site_fract_z
Tl1 0.500 0.500 0.500
Na1 0.000 0.000 0.000
O1 0.500 0.000 0.000
Mg1 0.000 0.000 0.500
Mg2 0.000 0.500 0.000
```

## Properties
* formation energy from raw total energies: 0.16 eV per atom
* N(E_F): 2.00 states/eV/f.u.
* volume: 116.0 Å³/cell

=====

Density functional theory data (meta-GGA SCAN) for HIrS2 at its PBEsol-relaxed geometry.

```
data_HIrS2
_space_group_name_H-M_alt 'P 1'
_space_group_IT_number 1
_cell_length_a 3.618
_cell_length_b 3.618
_cell_length_c 5.869
_cell_angle_alpha 72.05
_cell_angle_beta 72.05
_cell_angle_gamma 60.00
loop_
_space_group_symop_operation_xyz
'x,y,z'
loop_
_atom_site_label
_atom_site_fract_x
_atom_site_fract_y
_atom_site_fract_z
S1 0.100 0.100 0.701
S2 0.900 0.900 0.299
Ir1 0.500 0.500 0.500
H1 0.000 0.000 0.000
```

## Properties
* volume: 62.2 Å³/cell
* E_tot: -23.78 eV per atom

=====

Density functional theory data (meta-GGA SCAN) for LaCoMo2 at its PBEsol-relaxed geometry.

```
data_LaCoMo2
_space_group_name_H-M_alt 'P 1'
_space_group_IT_number 1
_cell_length_a 3.208
_cell_length_b 4.515
_cell_length_c 4.515
_cell_angle_alpha 90.00
_cell_angle_beta 90.00
_cell_angle_gamma 90.00
loop_
_space_group_symop_operation_xyz
'x,y,z'
loop_
_atom_site_label
_atom_site_fract_x
_atom_site_fract_y
_atom_site_fract_z
Mo1 0.000 0.500 0.000
La1 0.500 0.000 0.000
Mo2 0.000 0.000 0.500
Co1 0.500 0.500 0.500
```

## Properties
* E_form: 0.92 eV/atom
* polymorph energy (0 for the lowest one): 166.5 meV per atom
* N(E_F): 3.51 states/eV/f.u.
* volume: 65.4 Å³/cell